Entry 1:
Density functional theory data (PBE) for a relaxed structure of CrHgGe.

a b c (Å): 4.987 3.945 5.706
angles (deg): 90.00 105.57 90.00
Sites, in units of the cell vectors:
Cr 0.090 0.250 0.438
Cr 0.910 0.750 0.562
Hg 0.189 0.250 0.934
Hg 0.811 0.750 0.066
Ge 0.424 0.750 0.623
Ge 0.576 0.250 0.377

Calculated values
Density: 9.99 g/cm3
Formation energy from the elements: 0.25 eV/atom
Fermi-level density of states: 4.19 states/eV per cell


Entry 2:
Density functional theory data (PBE) for a relaxed structure of BaSc2Rh.

a b c (Å): 3.698 3.698 8.246
angles (deg): 90.00 90.00 90.00
Sites, in units of the cell vectors:
Ba 0.000 0.000 0.000
Sc 0.000 0.000 0.407
Sc 0.500 0.500 0.641
Rh 0.500 0.500 0.329

Calculated values
Density: 4.86 g/cm3
Formation energy from the elements: -0.21 eV/atom
Fermi-level density of states: 5.10 states/eV per cell


Entry 3:
Density functional theory data (PBE) for a relaxed structure of ZrGa4Sn.

a b c (Å): 5.421 5.421 5.421
angles (deg): 60.00 60.00 60.00
Sites, in units of the cell vectors:
Zr 0.000 0.000 0.000
Ga 0.124 0.625 0.625
Ga 0.625 0.124 0.625
Ga 0.625 0.625 0.124
Ga 0.625 0.625 0.625
Sn 0.250 0.250 0.250

Calculated values
Density: 7.21 g/cm3
Formation energy from the elements: -0.15 eV/atom
Fermi-level density of states: 2.51 states/eV per cell


Entry 4:
Density functional theory data (PBE) for a relaxed structure of In2Sb2Ir.

a b c (Å): 6.783 6.783 5.778
angles (deg): 90.00 90.00 90.00
Sites, in units of the cell vectors:
In 0.178 0.322 0.000
In 0.322 0.822 0.000
In 0.678 0.178 0.000
In 0.822 0.678 0.000
Sb 0.149 0.649 0.500
Sb 0.351 0.149 0.500
Sb 0.649 0.851 0.500
Sb 0.851 0.351 0.500
Ir 0.000 0.000 0.500
Ir 0.500 0.500 0.500

Calculated values
Density: 8.31 g/cm3
Fermi-level density of states: 5.56 states/eV per cell
E_form (uncorrected): 82 meV per atom


Entry 5:
Density functional theory data (PBE) for a relaxed structure of La3Si3Ir2.

a b c (Å): 6.109 6.109 14.752
angles (deg): 90.00 90.00 139.38
Sites, in units of the cell vectors:
La 0.069 0.931 0.605
La 0.069 0.931 0.895
La 0.353 0.647 0.750
La 0.647 0.353 0.250
La 0.931 0.069 0.105
La 0.931 0.069 0.395
Si 0.337 0.663 0.536
Si 0.337 0.663 0.964
Si 0.343 0.657 0.250
Si 0.657 0.343 0.750
Si 0.663 0.337 0.036
Si 0.663 0.337 0.464
Ir 0.219 0.781 0.106
Ir 0.219 0.781 0.394
Ir 0.781 0.219 0.606
Ir 0.781 0.219 0.894

Calculated values
Density: 8.21 g/cm3
Fermi-level density of states: 10.68 states/eV per cell
E_form (uncorrected): -869 meV per atom


Entry 6:
Density functional theory data (PBE) for a relaxed structure of Li2ZnIn.

a b c (Å): 9.397 9.397 9.397
angles (deg): 19.12 19.12 19.12
Sites, in units of the cell vectors:
Li 0.247 0.247 0.247
Li 0.753 0.753 0.753
Zn 0.500 0.500 0.500
In 0.000 0.000 0.000

Calculated values
Density: 4.14 g/cm3
Formation energy from the elements: -0.07 eV/atom
Fermi-level density of states: 1.95 states/eV per cell


Entry 7:
Density functional theory data (PBE) for a relaxed structure of Na5B2H12.

a b c (Å): 6.534 6.534 10.234
angles (deg): 119.68 119.68 50.88
Sites, in units of the cell vectors:
Na 0.000 0.000 0.000
Na 0.304 0.304 0.753
Na 0.342 0.342 0.113
Na 0.658 0.658 0.887
Na 0.696 0.696 0.247
B 0.157 0.843 0.500
B 0.843 0.157 0.500
H 0.021 0.021 0.418
H 0.072 0.583 0.929
H 0.161 0.633 0.415
H 0.367 0.839 0.585
H 0.417 0.928 0.071
H 0.448 0.448 0.696
H 0.552 0.552 0.304
H 0.583 0.072 0.929
H 0.633 0.161 0.415
H 0.839 0.367 0.585
H 0.928 0.417 0.071
H 0.979 0.979 0.582

Calculated values
Density: 0.87 g/cm3
Calculated total energy: -3.11 eV per atom
Fermi-level density of states: 4.76 states/eV per cell


Entry 8:
Density functional theory data (PBE) for a relaxed structure of Ce3InSi2Pt9.

a b c (Å): 7.028 7.028 7.586
angles (deg): 90.00 90.00 120.00
Sites, in units of the cell vectors:
Ce 0.000 0.000 0.000
Ce 0.333 0.667 0.713
Ce 0.667 0.333 0.287
In 0.000 0.000 0.500
Si 0.333 0.667 0.159
Si 0.667 0.333 0.841
Pt 0.000 0.500 0.000
Pt 0.202 0.404 0.393
Pt 0.202 0.798 0.393
Pt 0.404 0.202 0.607
Pt 0.500 0.000 0.000
Pt 0.500 0.500 0.000
Pt 0.596 0.798 0.393
Pt 0.798 0.202 0.607
Pt 0.798 0.596 0.607

Calculated values
Density: 12.01 g/cm3
Fermi-level density of states: 23.41 states/eV per cell
E_form (uncorrected): -602 meV per atom


Entry 9:
Density functional theory data (PBE) for a relaxed structure of Rb3TlBr6.

a b c (Å): 8.503 8.503 8.503
angles (deg): 60.00 60.00 60.00
Sites, in units of the cell vectors:
Rb 0.000 0.000 0.000
Rb 0.250 0.250 0.250
Rb 0.750 0.750 0.750
Tl 0.500 0.500 0.500
Br 0.269 0.269 0.731
Br 0.269 0.731 0.269
Br 0.269 0.731 0.731
Br 0.731 0.269 0.269
Br 0.731 0.269 0.731
Br 0.731 0.731 0.269

Calculated values
Density: 3.59 g/cm3
Fermi-level density of states: 0.00 states/eV per cell
E_form (uncorrected): -1196 meV per atom


Entry 10:
Density functional theory data (PBE) for a relaxed structure of Pr3SmTh2S6.

a b c (Å): 7.029 7.029 7.060
angles (deg): 99.58 99.58 119.86
Sites, in units of the cell vectors:
Pr 0.000 0.000 0.000
Pr 0.335 0.665 0.000
Pr 0.665 0.335 0.000
Sm 0.500 0.500 0.500
Th 0.167 0.833 0.500
Th 0.833 0.167 0.500
S 0.086 0.419 0.255
S 0.249 0.249 0.743
S 0.419 0.086 0.255
S 0.581 0.914 0.745
S 0.751 0.751 0.257
S 0.914 0.581 0.745

Calculated values
Density: 7.15 g/cm3
Fermi-level density of states: 6.73 states/eV per cell
E_form (uncorrected): -1951 meV per atom


Entry 11:
Density functional theory data (PBE) for a relaxed structure of Pu3Ga8Tc3.

a b c (Å): 8.054 8.054 8.054
angles (deg): 148.27 108.33 80.50
Sites, in units of the cell vectors:
Pu 0.000 0.000 0.000
Pu 0.295 0.295 0.000
Pu 0.705 0.705 0.000
Ga 0.009 0.648 0.361
Ga 0.152 0.866 0.287
Ga 0.288 0.648 0.639
Ga 0.421 0.134 0.287
Ga 0.579 0.866 0.713
Ga 0.712 0.352 0.361
Ga 0.848 0.134 0.713
Ga 0.991 0.352 0.639
Tc 0.339 0.500 0.839
Tc 0.500 0.000 0.500
Tc 0.661 0.500 0.161

Calculated values
Density: 10.30 g/cm3
Formation energy from the elements: -0.31 eV/atom
Fermi-level density of states: 27.36 states/eV per cell


Entry 12:
Density functional theory data (PBE) for a relaxed structure of RbNpGaO6.

a b c (Å): 5.347 5.347 6.444
angles (deg): 90.00 90.00 120.00
Sites, in units of the cell vectors:
Rb 0.000 0.000 0.000
Np 0.667 0.333 0.500
Ga 0.333 0.667 0.500
O 0.379 0.001 0.673
O 0.379 0.378 0.327
O 0.622 0.001 0.327
O 0.622 0.621 0.673
O 0.999 0.378 0.673
O 0.999 0.621 0.327

Calculated values
Density: 5.08 g/cm3
Fermi-level density of states: 7.55 states/eV per cell
E_form (uncorrected): -1913 meV per atom


Entry 13:
Density functional theory data (PBE) for a relaxed structure of FeCo2Re2.

a b c (Å): 6.891 6.891 2.677
angles (deg): 90.00 90.00 90.00
Sites, in units of the cell vectors:
Fe 0.000 0.000 0.000
Fe 0.500 0.500 0.000
Co 0.120 0.380 0.000
Co 0.380 0.880 0.000
Co 0.620 0.120 0.000
Co 0.880 0.620 0.000
Re 0.177 0.677 0.500
Re 0.323 0.177 0.500
Re 0.677 0.823 0.500
Re 0.823 0.323 0.500

Calculated values
Density: 14.27 g/cm3
Formation energy from the elements: 0.31 eV/atom
Fermi-level density of states: 13.24 states/eV per cell


Entry 14:
Density functional theory data (PBE) for a relaxed structure of Rb2TcSn.

a b c (Å): 9.885 9.885 9.885
angles (deg): 93.87 93.87 149.88
Sites, in units of the cell vectors:
Rb 0.375 0.068 0.193
Rb 0.818 0.625 0.693
Rb 0.875 0.182 0.807
Rb 0.932 0.125 0.307
Tc 0.000 0.000 0.000
Tc 0.750 0.250 0.500
Sn 0.250 0.750 0.500
Sn 0.500 0.500 0.000

Calculated values
Density: 2.75 g/cm3
Formation energy from the elements: 0.79 eV/atom
Fermi-level density of states: 10.45 states/eV per cell


Entry 15:
Density functional theory data (PBE) for a relaxed structure of Rb2PuSe2Cl2.

a b c (Å): 9.281 9.281 9.281
angles (deg): 145.47 145.47 49.63
Sites, in units of the cell vectors:
Rb 0.142 0.142 0.000
Rb 0.858 0.858 0.000
Pu 0.500 0.500 0.000
Se 0.000 0.500 0.500
Se 0.500 0.000 0.500
Cl 0.337 0.337 0.000
Cl 0.663 0.663 0.000

Calculated values
Density: 4.18 g/cm3
Fermi-level density of states: 7.56 states/eV per cell
E_form (uncorrected): -1579 meV per atom


Entry 16:
Density functional theory data (PBE) for a relaxed structure of La2Tb6Ho3.

a b c (Å): 6.114 6.114 11.797
angles (deg): 94.49 94.49 119.41
Sites, in units of the cell vectors:
La 0.173 0.827 0.000
La 0.827 0.173 0.000
Tb 0.074 0.408 0.743
Tb 0.259 0.259 0.254
Tb 0.408 0.074 0.743
Tb 0.592 0.926 0.257
Tb 0.741 0.741 0.746
Tb 0.926 0.592 0.257
Ho 0.000 0.000 0.500
Ho 0.335 0.665 0.500
Ho 0.665 0.335 0.500

Calculated values
Density: 7.55 g/cm3
Formation energy from the elements: 0.18 eV/atom
Fermi-level density of states: 18.03 states/eV per cell


Entry 17:
Density functional theory data (PBE) for a relaxed structure of YMg2GeBi.

a b c (Å): 4.964 4.964 5.623
angles (deg): 90.00 90.00 90.00
Sites, in units of the cell vectors:
Y 0.000 0.000 0.000
Mg 0.000 0.500 0.500
Mg 0.500 0.000 0.500
Ge 0.000 0.000 0.500
Bi 0.500 0.500 0.000

Calculated values
Density: 5.02 g/cm3
Formation energy from the elements: -0.29 eV/atom
Fermi-level density of states: 0.43 states/eV per cell


Entry 18:
Density functional theory data (PBE) for a relaxed structure of NaAcHg6.

a b c (Å): 5.347 7.113 5.613
angles (deg): 90.00 90.00 90.00
Sites, in units of the cell vectors:
Na 0.000 0.000 0.000
Ac 0.500 0.500 0.669
Hg 0.000 0.229 0.512
Hg 0.000 0.500 0.050
Hg 0.000 0.771 0.512
Hg 0.500 0.000 0.661
Hg 0.500 0.230 0.163
Hg 0.500 0.770 0.163

Calculated values
Density: 11.31 g/cm3
Formation energy from the elements: -0.30 eV/atom
Fermi-level density of states: 2.53 states/eV per cell


Entry 19:
Density functional theory data (PBE) for a relaxed structure of Ca4LaSe5.

a b c (Å): 15.307 15.307 15.307
angles (deg): 164.09 164.09 22.58
Sites, in units of the cell vectors:
Ca 0.101 0.101 0.000
Ca 0.299 0.299 0.000
Ca 0.701 0.701 0.000
Ca 0.899 0.899 0.000
La 0.500 0.500 0.000
Se 0.000 0.000 0.000
Se 0.200 0.200 0.000
Se 0.398 0.398 0.000
Se 0.602 0.602 0.000
Se 0.800 0.800 0.000

Calculated values
Density: 4.27 g/cm3
Fermi-level density of states: 1.84 states/eV per cell
E_form (uncorrected): -2003 meV per atom


Entry 20:
Density functional theory data (PBE) for a relaxed structure of SrCd3O.

a b c (Å): 4.988 4.988 4.988
angles (deg): 90.00 90.00 90.00
Sites, in units of the cell vectors:
Sr 0.000 0.000 0.000
Cd 0.000 0.500 0.500
Cd 0.500 0.000 0.500
Cd 0.500 0.500 0.000
O 0.500 0.500 0.500

Calculated values
Density: 5.90 g/cm3
Fermi-level density of states: 5.27 states/eV per cell
E_form (uncorrected): -165 meV per atom


Entry 21:
Density functional theory data (PBE) for a relaxed structure of K3Pu2CrS6.

a b c (Å): 6.828 6.828 7.683
angles (deg): 98.57 98.57 120.02
Sites, in units of the cell vectors:
K 0.000 0.000 0.000
K 0.331 0.669 0.000
K 0.669 0.331 0.000
Pu 0.166 0.834 0.500
Pu 0.834 0.166 0.500
Cr 0.500 0.500 0.500
S 0.129 0.436 0.307
S 0.259 0.259 0.693
S 0.436 0.129 0.307
S 0.564 0.871 0.693
S 0.741 0.741 0.307
S 0.871 0.564 0.693

Calculated values
Density: 4.77 g/cm3
Fermi-level density of states: 18.54 states/eV per cell
E_form (uncorrected): -1313 meV per atom


Entry 22:
Density functional theory data (PBE) for a relaxed structure of RbPr2Co.

a b c (Å): 11.694 11.694 11.694
angles (deg): 20.28 20.28 20.28
Sites, in units of the cell vectors:
Rb 0.000 0.000 0.000
Pr 0.125 0.125 0.125
Pr 0.875 0.875 0.875
Co 0.500 0.500 0.500

Calculated values
Density: 4.21 g/cm3
Formation energy from the elements: 0.13 eV/atom
Fermi-level density of states: 4.08 states/eV per cell


Entry 23:
Density functional theory data (PBE) for a relaxed structure of Pm2ZrAl4Pd3.

a b c (Å): 4.262 4.262 11.219
angles (deg): 90.00 90.00 90.00
Sites, in units of the cell vectors:
Pm 0.000 0.500 0.242
Pm 0.500 0.000 0.758
Zr 0.000 0.000 0.500
Al 0.000 0.000 0.000
Al 0.000 0.500 0.657
Al 0.500 0.000 0.343
Al 0.500 0.500 0.000
Pd 0.000 0.500 0.878
Pd 0.500 0.000 0.122
Pd 0.500 0.500 0.500

Calculated values
Density: 6.59 g/cm3
Formation energy from the elements: -0.69 eV/atom
Fermi-level density of states: 7.40 states/eV per cell